Record 1
DFT (PBE) results for a relaxed structure of LiTiAsO6.

abc: 5.077 5.077 8.811
angles: 90.00 90.00 120.00
Fractional positions:
O1 0.982 0.350 0.635
O2 0.368 0.350 0.865
O3 0.350 0.982 0.135
O4 0.350 0.368 0.365
O5 0.632 0.650 0.135
Li1 0.000 0.000 0.000
O6 0.018 0.650 0.365
Ti1 0.333 0.667 0.750
O7 0.650 0.018 0.865
O8 0.650 0.632 0.635
Ti2 0.667 0.333 0.250
O9 0.368 0.018 0.635
As1 0.667 0.333 0.750
O10 0.018 0.368 0.135
O11 0.982 0.632 0.865
O12 0.632 0.982 0.365
Li2 0.000 0.000 0.500
As2 0.333 0.667 0.250

Results
As for the density: 3.81 Mg/m³. Its symmetry is P-31c, No. 163. For the raw total energy, the calculation gives -6.46 eV/atom. Its formation energy from raw total energies is -1548 meV/atom.

Record 2
DFT (PBE) results for a relaxed structure of Li2Ti2As2O.

abc: 4.015 4.015 7.520
angles: 105.48 105.48 90.00
Fractional positions:
Li1 0.178 0.178 0.356
O1 0.000 0.000 0.000
Li2 0.822 0.822 0.644
Ti1 0.500 0.000 0.000
As1 0.632 0.632 0.264
As2 0.368 0.368 0.736
Ti2 0.000 0.500 0.000

Results
As for the density: 4.07 Mg/m³. Its symmetry is I4/mmm, No. 139. For the raw total energy, the calculation gives -6.14 eV/atom. Its formation energy from raw total energies is -1300 meV/atom.

Record 3
DFT (PBE) results for a relaxed structure of Li2TlAs2O7.

abc: 5.480 5.480 8.287
angles: 70.69 70.69 60.00
Fractional positions:
Tl1 0.500 0.500 0.500
O1 0.914 0.597 0.293
As1 0.923 0.923 0.231
Li1 0.753 0.753 0.741
Li2 0.247 0.247 0.259
O2 0.597 0.196 0.293
As2 0.077 0.077 0.769
O3 0.196 0.914 0.293
O4 0.000 0.000 0.000
O5 0.403 0.086 0.707
O6 0.086 0.804 0.707
O7 0.804 0.403 0.707

Results
As for the density: 4.00 Mg/m³. Its symmetry is R32, No. 155. For the raw total energy, the calculation gives -5.52 eV/atom. Its formation energy from raw total energies is -1340 meV/atom.

Record 4
DFT (PBE) results for a relaxed structure of LiTlAs2O6.

abc: 5.297 7.993 7.993
angles: 96.60 80.64 80.64
Fractional positions:
Li1 0.750 0.765 0.235
O1 0.554 0.617 0.692
As1 0.344 0.784 0.619
O2 0.946 0.308 0.383
O3 0.726 0.039 0.233
Tl1 0.750 0.113 0.887
O4 0.551 0.202 0.585
O5 0.446 0.383 0.308
Tl2 0.250 0.887 0.113
O6 0.054 0.692 0.617
O7 0.226 0.233 0.039
As2 0.656 0.216 0.381
As3 0.844 0.619 0.784
O8 0.051 0.585 0.202
O9 0.949 0.415 0.798
As4 0.156 0.381 0.216
O10 0.274 0.961 0.767
O11 0.449 0.798 0.415
O12 0.774 0.767 0.961
Li2 0.250 0.235 0.765

Results
As for the density: 4.66 Mg/m³. Its symmetry is C2/c, No. 15. For the raw total energy, the calculation gives -5.61 eV/atom. Its formation energy from raw total energies is -1273 meV/atom.

Record 5
DFT (PBE) results for a relaxed structure of LiTl2AsO4.

abc: 4.998 6.305 10.400
angles: 84.54 76.10 66.65
Fractional positions:
O1 0.507 0.326 0.590
O2 0.167 0.326 0.410
O3 0.327 0.826 0.090
Tl1 0.575 0.500 0.849
Tl2 0.825 0.000 0.349
Li1 0.000 0.000 0.000
Tl3 0.925 0.500 0.151
Tl4 0.175 0.000 0.651
O4 0.583 0.174 0.090
As1 0.250 0.500 0.500
O5 0.423 0.674 0.410
O6 0.902 0.674 0.590
Li2 0.750 0.500 0.500
O7 0.848 0.826 0.910
As2 0.500 0.000 0.000
O8 0.243 0.174 0.910

Results
As for the density: 6.31 Mg/m³. Its symmetry is Fddd, No. 70. For the raw total energy, the calculation gives -5.10 eV/atom. Its formation energy from raw total energies is -1210 meV/atom.

Record 6
DFT (PBE) results for a relaxed structure of LiTlAsO4.

abc: 5.749 5.749 6.573
angles: 90.00 90.00 111.81
Fractional positions:
O1 0.239 0.761 0.969
As1 0.859 0.141 0.250
Li1 0.151 0.849 0.250
O2 0.761 0.239 0.031
Tl1 0.500 0.500 0.000
Tl2 0.500 0.500 0.500
O3 0.228 0.187 0.750
As2 0.141 0.859 0.750
Li2 0.849 0.151 0.750
O4 0.813 0.772 0.750
O5 0.772 0.813 0.250
O6 0.239 0.761 0.531
O7 0.761 0.239 0.469
O8 0.187 0.228 0.250

Results
As for the density: 5.77 Mg/m³. Its symmetry is Cmcm, No. 63. For the raw total energy, the calculation gives -5.37 eV/atom. Its formation energy from raw total energies is -1264 meV/atom.

Record 7
DFT (PBE) results for a relaxed structure of LiTmAsO4.

abc: 6.510 6.203 6.203
angles: 65.37 58.35 58.35
Fractional positions:
O1 0.237 0.237 0.737
O2 0.273 0.261 0.193
O3 0.727 0.307 0.239
As1 0.401 0.349 0.849
Tm1 0.000 0.000 0.000
Tm2 0.000 0.500 0.500
O4 0.273 0.693 0.761
O5 0.763 0.763 0.263
O6 0.727 0.739 0.807
As2 0.599 0.651 0.151
O7 0.211 0.763 0.263
Li1 0.500 0.000 0.500
Li2 0.000 0.000 0.500
O8 0.789 0.237 0.737

Results
As for the density: 5.87 Mg/m³. Its symmetry is Imma, No. 74. For the raw total energy, the calculation gives -6.52 eV/atom. Its formation energy from raw total energies is -2115 meV/atom.

Record 8
DFT (PBE) results for a relaxed structure of Li3Tm3AsO8.

abc: 6.534 6.533 6.236
angles: 121.60 90.00 120.00
Fractional positions:
Li1 0.000 0.000 0.000
As1 0.000 0.000 0.500
O1 0.224 0.448 0.721
Tm1 0.000 0.500 0.500
O2 0.227 0.003 0.279
O3 0.224 0.997 0.721
Li2 0.500 0.500 0.000
Tm2 0.500 0.000 0.500
O4 0.256 0.513 0.269
O5 0.776 0.003 0.279
O6 0.744 0.487 0.731
Li3 0.000 0.500 0.000
O7 0.773 0.997 0.721
Tm3 0.500 0.500 0.500
O8 0.776 0.552 0.279

Results
As for the density: 6.61 Mg/m³. Its symmetry is R-3m, No. 166. For the raw total energy, the calculation gives -6.78 eV/atom. Its formation energy from raw total energies is -2545 meV/atom.

Record 9
DFT (PBE) results for a relaxed structure of LiUAsO5.

abc: 6.086 6.086 8.326
angles: 109.93 109.93 93.62
Fractional positions:
O1 0.677 0.679 0.840
O2 0.787 0.212 0.962
As1 0.366 0.634 0.750
Li1 0.318 0.682 0.250
O3 0.213 0.788 0.038
O4 0.212 0.787 0.462
O5 0.321 0.323 0.660
O6 0.038 0.962 0.750
O7 0.962 0.038 0.250
O8 0.323 0.321 0.160
U1 0.000 0.000 0.500
As2 0.634 0.366 0.250
Li2 0.682 0.318 0.750
O9 0.679 0.677 0.340
O10 0.788 0.213 0.538
U2 0.000 0.000 0.000

Results
As for the density: 4.98 Mg/m³. Its symmetry is C2/c, No. 15. For the raw total energy, the calculation gives -7.62 eV/atom. Its formation energy from raw total energies is -2286 meV/atom.

Record 10
DFT (PBE) results for a relaxed structure of LiUAsO.

abc: 3.836 3.836 8.919
angles: 90.00 90.00 90.00
Fractional positions:
O1 0.500 0.500 0.000
Li1 0.500 0.500 0.500
As1 0.500 0.000 0.693
U1 0.000 0.500 0.854
O2 0.000 0.000 0.000
As2 0.000 0.500 0.307
U2 0.500 0.000 0.146
Li2 0.000 0.000 0.500

Results
As for the density: 8.50 Mg/m³. Its symmetry is P4/nmm, No. 129. For the raw total energy, the calculation gives -7.40 eV/atom. Its formation energy from raw total energies is -1698 meV/atom.

Record 11
DFT (PBE) results for a relaxed structure of Li2UAsO8.

abc: 4.661 4.699 6.433
angles: 90.00 90.00 82.43
Fractional positions:
O1 0.865 0.244 0.795
O2 0.300 0.243 0.500
O3 0.135 0.756 0.205
O4 0.593 0.878 0.000
O5 0.865 0.244 0.205
Li1 0.500 0.500 0.259
O6 0.407 0.122 0.000
O7 0.135 0.756 0.795
O8 0.700 0.757 0.500
As1 0.000 0.000 0.000
U1 0.000 0.000 0.500
Li2 0.500 0.500 0.741

Results
As for the density: 5.41 Mg/m³. Its symmetry is P2/m, No. 10. For the raw total energy, the calculation gives -6.68 eV/atom. Its formation energy from raw total energies is -1727 meV/atom.

Record 12
DFT (PBE) results for a relaxed structure of LiUAsO2.

abc: 3.723 3.723 6.442
angles: 106.79 106.79 90.00
Fractional positions:
U1 0.160 0.160 0.320
Li1 0.823 0.823 0.645
O1 0.747 0.247 0.494
O2 0.247 0.747 0.494
As1 0.524 0.524 0.047

Results
As for the density: 7.17 Mg/m³. Its symmetry is I4mm, No. 107. For the raw total energy, the calculation gives -7.56 eV/atom. Its formation energy from raw total energies is -2006 meV/atom.

Record 13
DFT (PBE) results for a relaxed structure of LiUAs2O8.

abc: 5.876 5.876 5.876
angles: 106.76 106.76 115.04
Fractional positions:
O1 0.751 0.067 0.684
O2 0.332 0.140 0.808
U1 0.250 0.750 0.500
As1 0.500 0.500 0.000
O3 0.933 0.249 0.316
O4 0.476 0.668 0.808
O5 0.933 0.616 0.684
Li1 0.000 0.000 0.000
As2 0.750 0.250 0.500
O6 0.332 0.524 0.192
O7 0.384 0.067 0.316
O8 0.860 0.668 0.192

Results
As for the density: 5.60 Mg/m³. Its symmetry is I-4m2, No. 119. For the raw total energy, the calculation gives -7.03 eV/atom. Its formation energy from raw total energies is -1850 meV/atom.